Computed, not measured: a geometry-optimized BiIrRu2Au structure at the PBE level of DFT.

Summary:
- SG: P4/mmm
- E_form: 1.8442 eV per atom
- Uncorrected energy: -25.35 eV for the cell shown

Unit cell a=4.8799 b=4.9637 c=4.8799 alpha=90.00 beta=90.00 gamma=90.00
Site moments in Bohr magnetons follow the coordinates.
Atoms (fractional coordinates):
Bi (0.5000, 0.5000, 0.5000)  -0.07
Ir (0.0000, 0.5000, 0.0000)  0.52
Au (0.0000, 0.0000, 0.0000)  0.23
Ru (0.5000, 0.0000, 0.0000)  1.52
Ru (0.0000, 0.0000, 0.5000)  2.27